(1)
Computed, not measured: a relaxed CrTcRhW crystal at the PBE-GGA level of DFT.

For the density of states at the Fermi level, the calculation gives 18.42 states/eV per cell. Its formation energy is 197 meV per atom.

It has space group F-43m (No. 216), with a = 6.157 Å, b = 6.157 Å, c = 6.157 Å, α = 90.00°, β = 90.00° and γ = 90.00°. The distinct sites, in fractional coordinates, are Cr at (0.000, 0.000, 0.000), Tc at (0.000, 0.000, 0.500), Rh at (0.250, 0.250, 0.750) and W at (0.250, 0.250, 0.250).

(2)
Computed, not measured: a relaxed CrTe4Rh crystal at the PBE-GGA level of DFT.

For the density of states at the Fermi level, the calculation gives 3.80 states/eV per cell. The excess energy over the best structure of this formula in the dataset comes out at 0 meV per atom. The formation energy (no corrections) is -0.27 eV per atom.

It has space group P2/m (No. 10), with a = 5.871 Å, b = 3.921 Å, c = 6.652 Å, α = 90.00°, β = 90.64° and γ = 90.00°. The distinct sites, in fractional coordinates, are Cr at (0.000, 0.000, 0.000), Te at (0.250, 0.000, 0.663), Te at (0.257, 0.500, 0.167) and Rh at (0.000, 0.500, 0.500).

(3)
Computed, not measured: a relaxed Cr3Te8Rh crystal at the PBE-GGA level of DFT.

For the density of states at the Fermi level, the calculation gives 14.29 states/eV per cell. The formation energy (no corrections) is -0.21 eV per atom.

It has space group C2/m (No. 12), with a = 13.052 Å, b = 7.555 Å, c = 7.881 Å, α = 90.00°, β = 124.28° and γ = 90.00°. The distinct sites, in fractional coordinates, are Cr at (0.000, 0.000, 0.000), Cr at (0.250, 0.250, 0.000), Te at (0.000, 0.251, 0.243), Te at (0.249, 0.500, 0.243), Te at (0.250, 0.000, 0.245) and Rh at (0.000, 0.500, 0.000).

(4)
Computed, not measured: a relaxed Cr2Te6Rh crystal at the PBE-GGA level of DFT.

For the density of states at the Fermi level, the calculation gives 5.36 states/eV per cell. The formation energy (no corrections) is -0.24 eV per atom.

It has space group P-31m (No. 162), with a = 6.6579 Å, b = 6.6579 Å, c = 6.0351 Å, α = 90.00°, β = 90.00° and γ = 120.00°. The distinct sites, in fractional coordinates, are Cr at (0.3333, 0.6667, 0.0000), Te at (0.0000, 0.3329, 0.2521) and Rh at (0.0000, 0.0000, 0.0000).

(5)
Computed, not measured: a relaxed Cr3TeRh crystal at the PBE-GGA level of DFT.

For the density of states at the Fermi level, the calculation gives 7.55 states/eV per cell. The excess energy over the best structure of this formula in the dataset comes out at 0 meV per atom. The formation energy (no corrections) is 0.96 eV per atom.

It has space group Pm-3m (No. 221), with a = 4.800 Å, b = 4.800 Å, c = 4.800 Å, α = 90.00°, β = 90.00° and γ = 90.00°. The distinct sites, in fractional coordinates, are Cr at (0.000, 0.000, 0.500), Te at (0.500, 0.500, 0.500) and Rh at (0.000, 0.000, 0.000).

(6)
Computed, not measured: a relaxed CrTe4Rh crystal at the PBE-GGA level of DFT.

For the density of states at the Fermi level, the calculation gives 35.97 states/eV per cell. The excess energy over the best structure of this formula in the dataset comes out at 1328 meV per atom. The formation energy (no corrections) is 1.06 eV per atom.

It has space group F-43m (No. 216), with a = 8.759 Å, b = 8.759 Å, c = 8.759 Å, α = 90.00°, β = 90.00° and γ = 90.00°. The distinct sites, in fractional coordinates, are Cr at (0.000, 0.000, 0.000), Te at (0.125, 0.125, 0.375) and Rh at (0.250, 0.250, 0.750).

(7)
Computed, not measured: a relaxed Cr4TeRh crystal at the PBE-GGA level of DFT.

For the density of states at the Fermi level, the calculation gives 24.74 states/eV per cell. The formation energy (no corrections) is 0.38 eV per atom.

It has space group F-43m (No. 216), with a = 6.884 Å, b = 6.884 Å, c = 6.884 Å, α = 90.00°, β = 90.00° and γ = 90.00°. The distinct sites, in fractional coordinates, are Cr at (0.125, 0.125, 0.125), Te at (0.000, 0.000, 0.500) and Rh at (0.250, 0.250, 0.750).

(8)
Computed, not measured: a relaxed Cr4Te9Rh2 crystal at the PBE-GGA level of DFT.

For the density of states at the Fermi level, the calculation gives 10.61 states/eV per cell. The formation energy (no corrections) is -0.23 eV per atom.

It has space group P-3c1 (No. 165), with a = 6.8964 Å, b = 6.8964 Å, c = 17.8431 Å, α = 90.00°, β = 90.00° and γ = 120.00°. The distinct sites, in fractional coordinates, are Cr at (0.3333, 0.6667, 0.0116), Cr at (0.3333, 0.6667, 0.3207), Te at (0.0000, 0.3042, 0.2500), Te at (0.0186, 0.3533, 0.9158) and Rh at (0.0000, 0.0000, 0.1528).

(9)
Computed, not measured: a relaxed CrTe3Rh crystal at the PBE-GGA level of DFT.

For the density of states at the Fermi level, the calculation gives 4.05 states/eV per cell. The excess energy over the best structure of this formula in the dataset comes out at 0 meV per atom. The formation energy (no corrections) is 0.79 eV per atom.

It has space group Pm-3m (No. 221), with a = 5.056 Å, b = 5.056 Å, c = 5.056 Å, α = 90.00°, β = 90.00° and γ = 90.00°. The distinct sites, in fractional coordinates, are Cr at (0.000, 0.000, 0.000), Te at (0.000, 0.000, 0.500) and Rh at (0.500, 0.500, 0.500).

(10)
Computed, not measured: a relaxed Ti2CrRh2 crystal at the PBE-GGA level of DFT.

For the density of states at the Fermi level, the calculation gives 16.31 states/eV per cell. The excess energy over the best structure of this formula in the dataset comes out at 4 meV per atom. Its formation energy is -209 meV per atom.

It has space group P4/mbm (No. 127), with a = 7.232 Å, b = 7.232 Å, c = 2.903 Å, α = 90.00°, β = 90.00° and γ = 90.00°. The distinct sites, in fractional coordinates, are Ti at (0.166, 0.334, 0.000), Cr at (0.000, 0.000, 0.500) and Rh at (0.136, 0.636, 0.500).

(11)
Computed, not measured: a relaxed TiCr3Rh crystal at the PBE-GGA level of DFT.

For the density of states at the Fermi level, the calculation gives 9.78 states/eV per cell. The excess energy over the best structure of this formula in the dataset comes out at 183 meV per atom. Its formation energy is 1444 meV per atom.

It has space group Pm-3m (No. 221), with a = 4.195 Å, b = 4.195 Å, c = 4.195 Å, α = 90.00°, β = 90.00° and γ = 90.00°. The distinct sites, in fractional coordinates, are Ti at (0.000, 0.000, 0.000), Cr at (0.000, 0.000, 0.500) and Rh at (0.500, 0.500, 0.500).

(12)
Computed, not measured: a relaxed TiCrRh2 crystal at the PBE-GGA level of DFT.

For the density of states at the Fermi level, the calculation gives 2.88 states/eV per cell. Its formation energy is -448 meV per atom.

It has space group P4/mmm (No. 123), with a = 4.044 Å, b = 4.044 Å, c = 3.520 Å, α = 90.00°, β = 90.00° and γ = 90.00°. The distinct sites, in fractional coordinates, are Ti at (0.000, 0.000, 0.000), Cr at (0.500, 0.500, 0.000) and Rh at (0.000, 0.500, 0.500).

(13)
Computed, not measured: a relaxed TiCr2Rh8 crystal at the PBE-GGA level of DFT.

For the density of states at the Fermi level, the calculation gives 22.79 states/eV per cell. Its formation energy is -158 meV per atom.

It has space group Immm (No. 71), with a = 3.988 Å, b = 6.634 Å, c = 11.851 Å, α = 90.00°, β = 90.00° and γ = 90.00°. The distinct sites, in fractional coordinates, are Ti at (0.000, 0.000, 0.000), Cr at (0.000, 0.000, 0.298), Rh at (0.000, 0.195, 0.500), Rh at (0.000, 0.288, 0.156) and Rh at (0.000, 0.500, 0.349).

(14)
Computed, not measured: a relaxed TiCrRh2 crystal at the PBE-GGA level of DFT.

For the density of states at the Fermi level, the calculation gives 4.31 states/eV per cell. Its formation energy is -335 meV per atom.

It has space group P4/mmm (No. 123), with a = 2.756 Å, b = 2.756 Å, c = 7.345 Å, α = 90.00°, β = 90.00° and γ = 90.00°. The distinct sites, in fractional coordinates, are Ti at (0.000, 0.000, 0.000), Cr at (0.000, 0.000, 0.500) and Rh at (0.500, 0.500, 0.266).

(15)
Computed, not measured: a relaxed TiCrRh5 crystal at the PBE-GGA level of DFT.

For the density of states at the Fermi level, the calculation gives 26.48 states/eV per cell. Its formation energy is -110 meV per atom.

It has space group C2/c (No. 15), with a = 9.059 Å, b = 5.490 Å, c = 8.978 Å, α = 90.00°, β = 105.67° and γ = 90.00°. The distinct sites, in fractional coordinates, are Ti at (0.000, 0.125, 0.250), Cr at (0.250, 0.250, 0.000), Rh at (0.000, 0.333, 0.750), Rh at (0.105, 0.336, 0.493) and Rh at (0.248, 0.078, 0.731).

(16)
Computed, not measured: a relaxed Ti6CrRh5 crystal at the PBE-GGA level of DFT.

For the density of states at the Fermi level, the calculation gives 20.52 states/eV per cell. Its formation energy is -677 meV per atom.

It has space group Cmmm (No. 65), with a = 4.325 Å, b = 12.965 Å, c = 6.307 Å, α = 90.00°, β = 90.00° and γ = 90.00°. The distinct sites, in fractional coordinates, are Ti at (0.000, 0.000, 0.242), Ti at (0.000, 0.337, 0.246), Cr at (0.000, 0.500, 0.000), Rh at (0.000, 0.167, 0.500), Rh at (0.000, 0.168, 0.000) and Rh at (0.000, 0.500, 0.500).

(17)
Computed, not measured: a relaxed TiCrRh4 crystal at the PBE-GGA level of DFT.

For the density of states at the Fermi level, the calculation gives 2.31 states/eV per cell. Its formation energy is -77 meV per atom.

It has space group P4/mmm (No. 123), with a = 4.066 Å, b = 4.066 Å, c = 5.779 Å, α = 90.00°, β = 90.00° and γ = 90.00°. The distinct sites, in fractional coordinates, are Ti at (0.000, 0.000, 0.000), Cr at (0.500, 0.500, 0.500) and Rh at (0.000, 0.500, 0.257).

(18)
Computed, not measured: a relaxed TiCr3Rh crystal at the PBE-GGA level of DFT.

For the density of states at the Fermi level, the calculation gives 6.50 states/eV per cell. The excess energy over the best structure of this formula in the dataset comes out at 0 meV per atom. Its formation energy is 1261 meV per atom.

It has space group Pm-3m (No. 221), with a = 4.624 Å, b = 4.624 Å, c = 4.624 Å, α = 90.00°, β = 90.00° and γ = 90.00°. The distinct sites, in fractional coordinates, are Ti at (0.000, 0.000, 0.000), Cr at (0.000, 0.500, 0.500) and Rh at (0.500, 0.500, 0.500).

(19)
Computed, not measured: a relaxed TiCr2Rh crystal at the PBE-GGA level of DFT.

For the density of states at the Fermi level, the calculation gives 33.94 states/eV per cell. The excess energy over the best structure of this formula in the dataset comes out at 0 meV per atom. Its formation energy is 40 meV per atom.

It has space group Fm-3m (No. 225), with a = 5.990 Å, b = 5.990 Å, c = 5.990 Å, α = 90.00°, β = 90.00° and γ = 90.00°. The distinct sites, in fractional coordinates, are Ti at (0.000, 0.000, 0.000), Cr at (0.250, 0.250, 0.250) and Rh at (0.000, 0.000, 0.500).

(20)
Computed, not measured: a relaxed TiCr2Rh crystal at the PBE-GGA level of DFT.

For the density of states at the Fermi level, the calculation gives 19.51 states/eV per cell. The excess energy over the best structure of this formula in the dataset comes out at 389 meV per atom. Its formation energy is 429 meV per atom.

It has space group I-42d (No. 122), with a = 6.886 Å, b = 6.886 Å, c = 4.889 Å, α = 90.00°, β = 90.00° and γ = 90.00°. The distinct sites, in fractional coordinates, are Ti at (0.000, 0.000, 0.000), Cr at (0.234, 0.250, 0.625) and Rh at (0.000, 0.000, 0.500).

(21)
Computed, not measured: a relaxed Ti2CrRh9 crystal at the PBE-GGA level of DFT.

For the density of states at the Fermi level, the calculation gives 9.56 states/eV per cell. Its formation energy is -458 meV per atom.

It has space group P4/mmm (No. 123), with a = 3.829 Å, b = 3.829 Å, c = 11.526 Å, α = 90.00°, β = 90.00° and γ = 90.00°. The distinct sites, in fractional coordinates, are Ti at (0.000, 0.000, 0.165), Cr at (0.000, 0.000, 0.500), Rh at (0.000, 0.500, 0.000), Rh at (0.000, 0.500, 0.339), Rh at (0.500, 0.500, 0.169) and Rh at (0.500, 0.500, 0.500).

(22)
Computed, not measured: a relaxed TiCr2Rh2 crystal at the PBE-GGA level of DFT.

For the density of states at the Fermi level, the calculation gives 11.52 states/eV per cell. The excess energy over the best structure of this formula in the dataset comes out at 56 meV per atom. Its formation energy is -20 meV per atom.

It has space group P4/mbm (No. 127), with a = 7.250 Å, b = 7.250 Å, c = 2.682 Å, α = 90.00°, β = 90.00° and γ = 90.00°. The distinct sites, in fractional coordinates, are Ti at (0.000, 0.000, 0.000), Cr at (0.168, 0.332, 0.500) and Rh at (0.131, 0.631, 0.000).

(23)
Computed, not measured: a relaxed TiCr2Rh2 crystal at the PBE-GGA level of DFT.

For the density of states at the Fermi level, the calculation gives 16.67 states/eV per cell. The excess energy over the best structure of this formula in the dataset comes out at 0 meV per atom. Its formation energy is -76 meV per atom.

It has space group P4/mbm (No. 127), with a = 7.223 Å, b = 7.223 Å, c = 2.684 Å, α = 90.00°, β = 90.00° and γ = 90.00°. The distinct sites, in fractional coordinates, are Ti at (0.000, 0.000, 0.000), Cr at (0.114, 0.386, 0.000) and Rh at (0.179, 0.679, 0.500).

Number 1: spin magnetization 11.40 Bohr magnetons per cell. Number 2: spin magnetization 2.64 Bohr magnetons per cell. Number 3: spin magnetization 14.67 Bohr magnetons per cell. Number 4: spin magnetization 4.90 Bohr magnetons per cell. Number 5: spin magnetization 11.81 Bohr magnetons per cell. Number 6: spin magnetization 13.30 Bohr magnetons per cell. Number 7: spin magnetization 0.00 Bohr magnetons per cell. Number 8: spin magnetization 24.00 Bohr magnetons per cell. Number 9: spin magnetization 1.52 Bohr magnetons per cell. Number 10: spin magnetization 0.00 Bohr magnetons per cell. Number 11: spin magnetization 0.00 Bohr magnetons per cell. Number 12: spin magnetization 3.29 Bohr magnetons per cell. Number 13: spin magnetization 2.83 Bohr magnetons per cell. Number 14: spin magnetization 0.07 Bohr magnetons per cell. Number 15: spin magnetization 9.78 Bohr magnetons per cell. Number 16: spin magnetization 0.00 Bohr magnetons per cell. Number 17: spin magnetization 0.62 Bohr magnetons per cell. Number 18: spin magnetization 7.48 Bohr magnetons per cell. Number 19: spin magnetization 6.48 Bohr magnetons per cell. Number 20: spin magnetization 0.00 Bohr magnetons per cell. Number 21: spin magnetization 0.58 Bohr magnetons per cell. Number 22: spin magnetization 0.00 Bohr magnetons per cell. Number 23: spin magnetization 0.00 Bohr magnetons per cell.